(1)
3
Lattice="-4.0704 -2.5492 2.2728 -4.0878 -1.6535 -2.9645 -0.7116 -5.1906 -0.8853" Properties=species:S:1:pos:R:3 comment="CdTePb (PBE-GGA, relaxed)" total_energy_ev_per_atom=-2.598 pbc="T T T"
Pb -2.2175 -2.3483 -0.3943
Te 0.0000 0.0000 0.0000
Cd -4.4349 -4.6967 -0.7885

---

(2)
12
Lattice="-0.7277 -5.3786 -3.4646 3.4548 -1.9785 2.3459 -8.1536 -4.2972 8.3837" Properties=species:S:1:pos:R:3 comment="CdTePb (PBE-GGA, relaxed)" total_energy_ev_per_atom=-2.708 pbc="T T T"
Te -2.7522 -8.0542 4.0873
Te -5.0259 -6.7550 8.5315
Te -2.6742 -3.6000 3.1778
Te -0.4005 -4.8992 -1.2665
Pb -2.4220 -5.3789 5.8572
Pb -3.0045 -6.2753 1.4078
Pb -0.0713 -2.2319 0.4983
Pb -5.3551 -9.4223 6.7667
Cd -5.6649 -6.1663 5.4179
Cd -5.8518 -8.7623 3.5037
Cd 0.2385 -5.4879 1.8472
Cd 0.4254 -2.8919 3.7613

---

(3)
12
Lattice="-3.5932 6.5191 2.2499 1.7390 -4.7813 -5.8810 -9.4333 -5.8891 1.9984" Properties=species:S:1:pos:R:3 comment="YCdTe3Pb (PBE-GGA, relaxed)" total_energy_ev_per_atom=-4.094 pbc="T T T"
Te -5.4199 3.9201 1.9388
Te -5.9947 -0.1744 0.2727
Te -5.8676 -8.0714 -3.5715
Te -5.2927 -3.9769 -1.9055
Te -2.1218 2.2434 -0.5477
Te -9.1656 -6.3948 -1.0850
Pb -9.5350 -0.2992 2.0208
Pb -1.7524 -3.8521 -3.6535
Cd -7.8622 -3.8442 -0.5299
Cd -3.4252 -0.3072 -1.1028
Y -4.7166 -2.9446 0.9992
Y 0.0000 0.0000 0.0000

---

(4)
12
Lattice="7.2415 -2.1169 0.0000 7.2415 2.1169 0.0000 0.0000 0.0000 11.8961" Properties=species:S:1:pos:R:3 comment="ZnCdTe3Pb (PBE-GGA, relaxed)" total_energy_ev_per_atom=-2.754 pbc="T T T"
Te 9.0908 0.0000 11.2374
Te 5.3922 0.0000 0.6587
Te 12.8626 0.0000 8.9221
Te 9.0908 0.0000 6.6068
Te 1.6205 0.0000 2.9740
Te 5.3922 0.0000 5.2893
Cd 7.4990 0.0000 8.9221
Cd 6.9840 0.0000 2.9740
Pb 3.2222 0.0000 8.9221
Pb 11.2608 0.0000 2.9740
Zn 0.0000 0.0000 5.9481
Zn 0.0000 0.0000 0.0000

---

(5)
12
Lattice="4.2848 0.0000 0.0000 2.1424 7.2756 0.0000 0.0000 0.0000 11.3391" Properties=species:S:1:pos:R:3 comment="ZnCdTe3Pb (PBE-GGA, relaxed)" total_energy_ev_per_atom=-2.846 pbc="T T T"
Cd 0.0000 0.0000 5.6696
Cd 0.0000 0.0000 0.0000
Zn 2.1424 0.4235 8.5043
Zn 4.2848 6.8521 2.8348
Pb 2.1424 3.8380 2.8348
Pb 4.2848 3.4376 8.5043
Te 4.2848 5.2240 4.9461
Te 2.1424 2.0516 6.3930
Te 4.2848 5.2240 0.7235
Te 2.1424 2.0516 10.6156
Te 4.2848 1.2404 2.8348
Te 2.1424 6.0352 8.5043

---

(6)
8
Lattice="4.6415 -4.6429 0.0000 4.6415 4.6429 0.0000 -4.6415 0.0000 4.9791" Properties=species:S:1:pos:R:3 comment="ThCd2Pb (PBE-GGA, relaxed)" total_energy_ev_per_atom=-3.453 pbc="T T T"
Pb 2.3203 0.0000 0.0000
Pb 6.9627 0.0000 0.0000
Cd 4.6415 0.0000 2.4895
Cd 0.0000 0.0000 2.4895
Cd 2.3208 2.3214 2.4895
Cd 2.3208 -2.3214 2.4895
Th 4.6415 -2.3211 0.0000
Th 4.6415 2.3211 0.0000

---

(7)
8
Lattice="-0.0224 2.7992 -3.6826 -4.6279 1.3107 1.0244 3.0392 6.7409 5.1052" Properties=species:S:1:pos:R:3 comment="Tm2Cd3Pb3 (PBE-GGA, relaxed)" total_energy_ev_per_atom=-3.114 pbc="T T T"
Pb -2.3139 0.6553 0.5122
Pb -0.0112 1.3996 -1.8413
Pb 1.5084 4.7700 0.7113
Tm 0.7588 1.6830 1.2746
Tm 2.2804 5.0579 3.8306
Cd -1.5286 3.8217 0.0089
Cd -0.0825 7.0290 2.4381
Cd -0.7944 4.0258 3.0648

---

(8)
4
Lattice="4.4751 0.0000 0.0000 0.0000 4.4751 0.0000 0.0000 0.0000 4.8918" Properties=species:S:1:pos:R:3 comment="TmCd2Pb (PBE-GGA, relaxed)" total_energy_ev_per_atom=-2.782 pbc="T T T"
Pb 0.0000 0.0000 2.4459
Cd 0.0000 2.2375 0.0000
Cd 2.2375 0.0000 0.0000
Tm 2.2375 2.2375 2.4459

---

(9)
18
Lattice="-3.1681 -5.1666 6.9856 7.7163 4.9855 1.0649 -3.5669 5.0659 2.1291" Properties=species:S:1:pos:R:3 comment="Tm5CdPb3 (PBE-GGA, relaxed)" total_energy_ev_per_atom=-4.258 pbc="T T T"
Pb 2.1333 6.9062 2.2605
Pb -4.6494 0.5798 5.9500
Pb 2.0161 3.1452 0.9336
Pb 1.9425 1.1536 5.5491
Pb -2.0856 -0.6805 3.1648
Pb -0.9612 3.7312 4.6307
Tm -1.3234 0.7504 6.0766
Tm 0.3804 1.2158 2.7840
Tm 0.4600 -1.7826 5.0121
Tm -0.5170 5.1939 1.8947
Tm 4.6664 4.8575 1.2994
Tm -3.1738 -2.4551 5.5641
Tm 2.3047 4.1344 4.1031
Tm 0.6009 3.6689 7.3957
Tm -3.5613 2.3544 3.5507
Tm 4.0882 1.6014 3.0385
Cd -1.7835 2.5330 1.0646
Cd 0.0000 0.0000 0.0000

---

(10)
4
Lattice="-1.5931 -2.7082 3.5831 -2.4739 1.9752 3.5622 -4.6644 -0.8753 0.4338" Properties=species:S:1:pos:R:3 comment="CdPbW2 (PBE-GGA, relaxed)" total_energy_ev_per_atom=-6.552 pbc="T T T"
W 0.0000 0.0000 0.0000
W -6.5485 -1.2062 5.6843
Pb -4.3657 -0.8041 3.7895
Cd -2.1828 -0.4021 1.8948

---

(11)
3
Lattice="4.5610 -0.8782 -2.1112 3.1469 -3.4438 2.0660 0.8905 -4.4097 -2.4069" Properties=species:S:1:pos:R:3 comment="YCdPb (PBE-GGA, relaxed)" total_energy_ev_per_atom=-3.768 pbc="T T T"
Y 0.0000 0.0000 0.0000
Pb 6.4488 -6.5488 -1.8391
Cd 2.1496 -2.1829 -0.6130

---

(12)
10
Lattice="7.8816 0.0000 0.0000 0.0000 7.8816 0.0000 0.0000 0.0000 4.5085" Properties=species:S:1:pos:R:3 comment="Y2CdPb2 (PBE-GGA, relaxed)" total_energy_ev_per_atom=-4.635 pbc="T T T"
Y 2.5770 1.3638 2.2543
Y 5.3046 6.5179 2.2543
Y 6.5179 2.5770 2.2543
Y 1.3638 5.3046 2.2543
Pb 6.8192 5.0032 0.0000
Pb 1.0624 2.8784 0.0000
Pb 5.0032 1.0624 0.0000
Pb 2.8784 6.8192 0.0000
Cd 3.9408 3.9408 0.0000
Cd 0.0000 0.0000 0.0000

---

(13)
4
Lattice="3.7757 -3.9042 0.8201 -1.5373 -4.9967 1.6856 0.3200 -4.2758 -3.4332" Properties=species:S:1:pos:R:3 comment="Y2CdPb (PBE-GGA, relaxed)" total_energy_ev_per_atom=-4.321 pbc="T T T"
Y 0.0000 0.0000 0.0000
Y 1.9188 -9.8824 -0.6956
Pb 1.2792 -6.5883 -0.4637
Cd 0.6396 -3.2941 -0.2319

---

(14)
7
Lattice="7.9272 0.4743 -3.4600 8.4628 -0.8817 1.6248 7.1173 -4.5327 -1.9584" Properties=species:S:1:pos:R:3 comment="Y2Cd2Pb3 (PBE-GGA, relaxed)" total_energy_ev_per_atom=-3.896 pbc="T T T"
Cd 1.4323 -0.3010 -0.2311
Cd 11.2831 -2.3712 -1.8209
Y 17.9331 -3.7687 -2.8940
Y 4.6550 -0.9783 -0.7512
Pb 14.6913 -3.0874 -2.3709
Pb 21.2180 -4.4590 -3.4241
Pb 8.1240 -1.7073 -1.3110

---

(15)
4
Lattice="-3.1722 -0.5617 4.4036 -0.6621 4.1854 3.4371 -4.7965 2.5882 0.2551" Properties=species:S:1:pos:R:3 comment="YCdPb2 (PBE-GGA, relaxed)" total_energy_ev_per_atom=-3.817 pbc="T T T"
Pb -4.3154 3.1059 4.0478
Pb -6.4731 4.6589 6.0718
Cd -2.1577 1.5530 2.0239
Y 0.0000 0.0000 0.0000

---

(16)
4
Lattice="0.0000 3.6013 3.6013 3.6013 0.0000 3.6013 3.6013 3.6013 0.0000" Properties=species:S:1:pos:R:3 comment="ZnCd2Pb (PBE-GGA, relaxed)" total_energy_ev_per_atom=-1.544 pbc="T T T"
Cd 0.0000 0.0000 0.0000
Cd 5.4019 5.4019 5.4019
Zn 1.8006 1.8006 1.8006
Pb 3.6012 3.6012 3.6012

---

(17)
4
Lattice="4.3827 -0.7987 -2.2468 2.9027 -3.7836 1.4673 0.6007 -3.9750 -2.9552" Properties=species:S:1:pos:R:3 comment="Zn2CdPb (PBE-GGA, relaxed)" total_energy_ev_per_atom=-1.565 pbc="T T T"
Pb 3.9431 -4.2787 -1.8673
Zn 0.0000 0.0000 0.0000
Zn 5.9146 -6.4180 -2.8010
Cd 1.9715 -2.1393 -0.9337

---

(18)
4
Lattice="-1.9575 -4.5029 -1.4662 -4.9792 -0.3765 -1.1506 -1.4606 -0.6976 -4.8619" Properties=species:S:1:pos:R:3 comment="ZrCd2Pb (PBE-GGA, relaxed)" total_energy_ev_per_atom=-3.310 pbc="T T T"
Cd -6.2980 -4.1827 -5.6090
Cd 0.0000 0.0000 0.0000
Pb -4.1986 -2.7885 -3.7394
Zr -2.0993 -1.3942 -1.8697

---

(19)
32
Lattice="5.5641 0.0000 0.0000 0.0000 3.9242 0.0000 -0.0046 0.0000 36.3510" Properties=species:S:1:pos:R:3 comment="CdPd15 (PBE-GGA, relaxed)" formation_energy_mev_per_atom=33 pbc="T T T"
Pd 3.4741 0.0000 18.8765
Pd 3.4823 0.0000 24.4863
Pd 0.6935 0.0000 16.0803
Pd 3.4760 0.0000 10.4660
Pd 3.4752 0.0000 16.0713
Pd 2.0842 1.9621 20.2802
Pd 2.0827 1.9621 28.6586
Pd 4.8659 1.9621 20.2712
Pd 0.6936 0.0000 21.6754
Pd 4.8744 1.9621 11.8642
Pd 2.0907 1.9621 9.0156
Pd 2.0852 1.9621 17.4748
Pd 0.6945 0.0000 18.8756
Pd 3.4685 0.0000 27.3350
Pd 3.4754 0.0000 13.2622
Pd 4.8650 1.9621 25.9031
Pd 2.0840 1.9621 23.0887
Pd 4.8649 1.9621 17.4756
Pd 0.6944 0.0000 10.4479
Pd 2.0850 1.9621 14.6742
Pd 3.4744 0.0000 21.6771
Pd 0.6849 0.0000 24.4868
Pd 4.8657 1.9621 23.0744
Pd 4.8658 1.9621 14.6759
Pd 2.0773 1.9621 11.8647
Pd 4.8618 1.9621 9.0152
Pd 0.6980 0.0000 27.3354
Pd 0.6937 0.0000 13.2767
Pd 3.4767 0.0000 7.6909
Pd 2.0833 1.9621 25.8847
Cd 0.6950 0.0000 7.5363
Cd 4.8644 1.9621 28.8154

---

(20)
32
Lattice="-4.2856 -3.5435 0.1574 1.2038 -1.5445 -1.9954 21.1246 -24.1488 31.4348" Properties=species:S:1:pos:R:3 comment="CdPd15 (PBE-GGA, relaxed)" formation_energy_mev_per_atom=13 pbc="T T T"
Pd 20.0962 -24.1551 27.8815
Pd 3.8067 -7.5593 7.1680
Pd 17.9528 -25.9263 27.9593
Pd -0.1955 -7.2051 4.4795
Pd 0.0900 -3.3105 1.6374
Pd 14.5071 -17.7658 19.5644
Pd 14.2361 -21.6776 22.4287
Pd 1.9486 -5.4349 4.4028
Pd 13.7780 -18.9511 22.0006
Pd 0.5503 -6.0312 2.0623
Pd 4.2647 -10.2857 7.5961
Pd 16.3935 -19.9227 22.3719
Pd 15.3503 -24.9766 27.6128
Pd 6.4149 -8.5078 7.5171
Pd 19.3537 -25.3323 30.3032
Pd 17.2106 -27.1038 30.3815
Pd 11.6279 -20.7290 22.0796
Pd 4.5426 -6.3811 4.7415
Pd 17.4925 -23.2057 27.5344
Pd -2.0535 -5.0817 1.7152
Pd 16.0942 -23.8020 25.1939
Pd 13.5002 -22.8558 24.8552
Pd 3.5357 -11.4711 10.0323
Pd 18.2383 -22.0318 25.1172
Pd 2.6925 -4.2603 1.9839
Pd 0.8322 -2.1331 -0.7848
Pd -1.3110 -3.9045 -0.7065
Pd 1.6492 -9.3141 7.2248
Pd 2.4062 -8.1474 4.8198
Pd 15.6366 -21.0895 24.7769
Cd 12.3220 -19.4893 19.5803
Cd 5.7207 -9.7476 10.0164

---

(21)
36
Lattice="4.8195 0.0000 0.0000 0.0000 5.5630 0.0000 -0.0302 0.0000 33.5684" Properties=species:S:1:pos:R:3 comment="CdPd17 (PBE-GGA, relaxed)" formation_energy_mev_per_atom=40 pbc="T T T"
Pd 0.0010 1.3907 9.9003
Pd 2.3946 0.0000 16.7842
Pd -0.0085 4.1722 9.9595
Pd 2.4006 0.0089 9.9237
Pd 2.3886 2.7904 23.6447
Pd 0.7795 0.0233 25.9247
Pd 1.5912 4.1722 7.6352
Pd 3.2018 4.1722 12.2349
Pd 3.1965 1.3907 19.0599
Pd 4.7883 4.1722 23.6681
Pd 0.7795 2.7582 25.9247
Pd 0.7917 0.0042 12.2169
Pd 0.7849 2.7831 19.0558
Pd 3.9975 2.7857 21.3515
Pd 2.3946 2.7815 16.7842
Pd 1.5928 4.1722 14.5085
Pd 1.5897 1.3907 14.5037
Pd 4.7977 1.3907 23.6089
Pd 1.5875 1.3907 21.3335
Pd 3.1995 4.1722 19.0647
Pd 3.9975 5.5588 21.3515
Pd -0.0151 1.3907 16.7836
Pd 3.1980 1.3907 25.9333
Pd 1.5878 4.1722 21.3466
Pd 2.4006 2.7726 9.9237
Pd 3.2014 1.3907 12.2218
Pd 4.0044 0.0016 14.5126
Pd 4.0044 2.7799 14.5126
Pd -0.0151 4.1722 16.7848
Pd 2.3886 5.5540 23.6447
Pd 0.7917 2.7773 12.2169
Pd 0.7849 5.5614 19.0558
Pd 4.0098 2.8047 7.6438
Pd 4.0098 5.5397 7.6438
Cd 1.6040 1.3907 7.3861
Cd 3.1852 4.1722 26.1823